Here is crystalline Cd2InCuHg at its relaxed geometry from Alexandria via LeMat-Bulk. Energies are from GGA-PBE.

Summary:
Its density is 7.6 Mg/m³. The crystal system is tetragonal. Its energy relative to the lowest polymorph listed for this composition is 0 meV/atom. Its total energy is -1.67 eV/atom. As for the formation energy: 12 kJ/mol of atoms. The value obtained for the density of states at the Fermi level is 2.05 states/eV per cell. The value obtained for the total moment is 0.0 μB/f.u.

Cell lengths 5.1172, 5.1172, 5.0471 Å; angles 90.00, 90.00, 90.00 degrees
Closest atoms and distances in Å follow each position.
Space group P4/mmm (No. 123)
Unique sites:
1 Cd 0.0000 0.5000 0.0000 x2  2 Cu 2.56
2 In 0.0000 0.0000 0.5000 x1  2 Cu 2.52
3 Cu 0.0000 0.0000 0.0000 x1  2 In 2.52, 4 Cd 2.56
4 Hg 0.5000 0.5000 0.5000 x1  8 Cd 3.59, 4 In 3.62